Record 1
# K2YBiSe4 (PBE, relaxed)
# **Density**: 4.71 g/cm³
# **Uncorrected formation energy**: -29.72 kcal/mol of atoms
# **E_tot**: -4.5984 eV/atom
# **Magnetization**: 0.00 μB per atom
data_K2YBiSe4
_chemical_formula_sum 'K2 Y1 Bi1 Se4'
_cell_length_a 7.4232
_cell_length_b 4.2665
_cell_length_c 8.0796
_cell_angle_alpha 90.00
_cell_angle_beta 107.64
_cell_angle_gamma 90.00
_space_group_name_H-M_alt 'P 1 2/m 1'
_space_group_IT_number 10
loop_
_space_group_symop_operation_xyz
'x,y,z'
'-x,-y,-z'
'-x,y,-z'
'x,-y,z'
loop_
_atom_site_label
_atom_site_fract_x
_atom_site_fract_y
_atom_site_fract_z
K1 0.0000 0.0000 0.0000
K2 0.5000 0.5000 0.0000
Y1 0.0000 0.5000 0.5000
Bi1 0.5000 0.0000 0.5000
Se1 0.2292 0.0000 0.7062
Se2 0.2563 0.5000 0.2899



Record 2
# K2Zn2BiSe4 (PBE, relaxed)
# **Density**: 4.69 g/cm³
# **Uncorrected formation energy**: -17.48 kcal/mol of atoms
# **E_tot**: -3.2647 eV/atom
# **Magnetization**: 0.00 μB per atom
data_K2Zn2BiSe4
_chemical_formula_sum 'K4 Zn4 Bi2 Se8'
_cell_length_a 17.4306
_cell_length_b 4.1295
_cell_length_c 7.7260
_cell_angle_alpha 90.00
_cell_angle_beta 110.85
_cell_angle_gamma 90.00
_space_group_name_H-M_alt 'C 1 2/m 1'
_space_group_IT_number 12
loop_
_space_group_symop_operation_xyz
'x,y,z'
'-x,-y,-z'
'-x,y,-z'
'x,-y,z'
'x+1/2,y+1/2,z'
'-x+1/2,-y+1/2,-z'
'-x+1/2,y+1/2,-z'
'x+1/2,-y+1/2,z'
loop_
_atom_site_label
_atom_site_fract_x
_atom_site_fract_y
_atom_site_fract_z
K1 0.1263 0.0000 0.0295
Zn1 0.1774 0.5000 0.4832
Bi1 0.0000 0.0000 0.5000
Se1 0.0347 0.5000 0.2642
Se2 0.2191 0.0000 0.6868



Record 3
# K3ZrBi2Se6 (PBE, relaxed)
# **Density**: 5.04 g/cm³
# **Uncorrected formation energy**: -21.92 kcal/mol of atoms
# **E_tot**: -4.3262 eV/atom
# **Magnetization**: 0.07 μB per atom
data_K3ZrBi2Se6
_chemical_formula_sum 'K6 Zr2 Bi4 Se12'
_cell_length_a 7.4404
_cell_length_b 12.9359
_cell_length_c 7.9411
_cell_angle_alpha 90.00
_cell_angle_beta 108.33
_cell_angle_gamma 90.00
_space_group_name_H-M_alt 'C 1 2/m 1'
_space_group_IT_number 12
loop_
_space_group_symop_operation_xyz
'x,y,z'
'-x,-y,-z'
'-x,y,-z'
'x,-y,z'
'x+1/2,y+1/2,z'
'-x+1/2,-y+1/2,-z'
'-x+1/2,y+1/2,-z'
'x+1/2,-y+1/2,z'
loop_
_atom_site_label
_atom_site_fract_x
_atom_site_fract_y
_atom_site_fract_z
K1 0.0000 0.0000 0.0000
K2 0.0000 0.3276 0.0000
Zr1 0.0000 0.5000 0.5000
Bi1 0.0000 0.1657 0.5000
Se1 0.2230 0.3443 0.7025
Se2 0.2417 0.5000 0.2959



Record 4
# K3ZrBi3Se8 (PBE, relaxed)
# **Density**: 5.02 g/cm³
# **Uncorrected formation energy**: -21.09 kcal/mol of atoms
# **E_tot**: -4.3386 eV/atom
# **Magnetization**: 0.00 μB per atom
data_K3ZrBi3Se8
_chemical_formula_sum 'K9 Zr3 Bi9 Se24'
_cell_length_a 8.4223
_cell_length_b 8.4223
_cell_length_c 23.7222
_cell_angle_alpha 90.00
_cell_angle_beta 90.00
_cell_angle_gamma 120.00
_space_group_name_H-M_alt 'R -3 m'
_space_group_IT_number 166
_space_group_name_Hall '-R 3 2"'
loop_
_atom_site_label
_atom_site_fract_x
_atom_site_fract_y
_atom_site_fract_z
K1 0.0000 0.5000 0.0000
Zr1 0.0000 0.0000 0.5000
Bi1 0.0000 0.5000 0.5000
Se1 0.0000 0.0000 0.2380
Se2 0.0227 0.5113 0.2325



Record 5
# K2SiBi (PBE, relaxed)
# **Polymorph energy (0 for the lowest one)**: 118 meV/atom
# **Density**: 2.27 g/cm³
# **Uncorrected formation energy**: 3.47 kcal/mol of atoms
# **E_tot**: -2.7242 eV/atom
# **Magnetization**: 0.00 μB per atom
data_K2SiBi
_chemical_formula_sum 'K8 Si4 Bi4'
_cell_length_a 13.0260
_cell_length_b 13.0260
_cell_length_c 5.4269
_cell_angle_alpha 90.00
_cell_angle_beta 90.00
_cell_angle_gamma 90.00
_space_group_name_H-M_alt 'I -4 2 d'
_space_group_IT_number 122
_space_group_name_Hall 'I -4 2bw'
loop_
_atom_site_label
_atom_site_fract_x
_atom_site_fract_y
_atom_site_fract_z
K1 0.0075 0.2500 0.1250
Si1 0.0000 0.0000 0.0000
Bi1 0.0000 0.0000 0.5000



Record 6
# KSiBi2 (PBE, relaxed)
# **Density**: 5.87 g/cm³
# **Uncorrected formation energy**: 1.48 kcal/mol of atoms
# **E_tot**: -3.5065 eV/atom
# **Magnetization**: 0.00 μB per atom
data_KSiBi2
_chemical_formula_sum 'K4 Si4 Bi8'
_cell_length_a 8.5536
_cell_length_b 8.5536
_cell_length_c 7.4979
_cell_angle_alpha 90.00
_cell_angle_beta 90.00
_cell_angle_gamma 90.00
_space_group_name_H-M_alt 'I -4 2 d'
_space_group_IT_number 122
_space_group_name_Hall 'I -4 2bw'
loop_
_atom_site_label
_atom_site_fract_x
_atom_site_fract_y
_atom_site_fract_z
K1 0.0000 0.0000 0.0000
Si1 0.0000 0.0000 0.5000
Bi1 0.1688 0.2500 0.6250



Record 7
# KSi3Bi (PBE, relaxed)
# **Polymorph energy (0 for the lowest one)**: 781 meV/atom
# **Density**: 3.62 g/cm³
# **Uncorrected formation energy**: 43.52 kcal/mol of atoms
# **E_tot**: -2.3625 eV/atom
# **Magnetization**: 0.00 μB per atom
data_KSi3Bi
_chemical_formula_sum 'K1 Si3 Bi1'
_cell_length_a 5.3408
_cell_length_b 5.3408
_cell_length_c 5.3408
_cell_angle_alpha 90.00
_cell_angle_beta 90.00
_cell_angle_gamma 90.00
_space_group_name_H-M_alt 'P m -3 m'
_space_group_IT_number 221
_space_group_name_Hall '-P 4 2 3'
loop_
_atom_site_label
_atom_site_fract_x
_atom_site_fract_y
_atom_site_fract_z
K1 0.0000 0.0000 0.0000
Si1 0.0000 0.0000 0.5000
Bi1 0.5000 0.5000 0.5000



Record 8
# KSi3Bi (PBE, relaxed)
# **Polymorph energy (0 for the lowest one)**: 0 meV/atom
# **Density**: 3.21 g/cm³
# **Uncorrected formation energy**: 25.50 kcal/mol of atoms
# **E_tot**: -3.1437 eV/atom
# **Magnetization**: 0.00 μB per atom
data_KSi3Bi
_chemical_formula_sum 'K1 Si3 Bi1'
_cell_length_a 5.5621
_cell_length_b 5.5621
_cell_length_c 5.5621
_cell_angle_alpha 90.00
_cell_angle_beta 90.00
_cell_angle_gamma 90.00
_space_group_name_H-M_alt 'P m -3 m'
_space_group_IT_number 221
_space_group_name_Hall '-P 4 2 3'
loop_
_atom_site_label
_atom_site_fract_x
_atom_site_fract_y
_atom_site_fract_z
K1 0.0000 0.0000 0.0000
Si1 0.0000 0.5000 0.5000
Bi1 0.5000 0.5000 0.5000



Record 9
# KSi2Bi2 (PBE, relaxed)
# **Polymorph energy (0 for the lowest one)**: 45 meV/atom
# **Density**: 5.19 g/cm³
# **Uncorrected formation energy**: 4.75 kcal/mol of atoms
# **E_tot**: -3.7352 eV/atom
# **Magnetization**: 0.00 μB per atom
data_KSi2Bi2
_chemical_formula_sum 'K2 Si4 Bi4'
_cell_length_a 5.0771
_cell_length_b 5.0771
_cell_length_c 12.7449
_cell_angle_alpha 90.00
_cell_angle_beta 90.00
_cell_angle_gamma 90.00
_space_group_name_H-M_alt 'I 4/m m m'
_space_group_IT_number 139
_space_group_name_Hall '-I 4 2'
loop_
_atom_site_label
_atom_site_fract_x
_atom_site_fract_y
_atom_site_fract_z
K1 0.0000 0.0000 0.0000
Si1 0.0000 0.5000 0.2500
Bi1 0.0000 0.0000 0.3549



Record 10
# KSiBi3 (PBE, relaxed)
# **Polymorph energy (0 for the lowest one)**: 1233 meV/atom
# **Density**: 5.72 g/cm³
# **Uncorrected formation energy**: 34.77 kcal/mol of atoms
# **E_tot**: -2.1247 eV/atom
# **Magnetization**: 0.00 μB per atom
data_KSiBi3
_chemical_formula_sum 'K1 Si1 Bi3'
_cell_length_a 5.8638
_cell_length_b 5.8638
_cell_length_c 5.8638
_cell_angle_alpha 90.00
_cell_angle_beta 90.00
_cell_angle_gamma 90.00
_space_group_name_H-M_alt 'P m -3 m'
_space_group_IT_number 221
_space_group_name_Hall '-P 4 2 3'
loop_
_atom_site_label
_atom_site_fract_x
_atom_site_fract_y
_atom_site_fract_z
K1 0.0000 0.0000 0.0000
Si1 0.5000 0.5000 0.5000
Bi1 0.0000 0.0000 0.5000



Record 11
# KSi2Bi2 (PBE, relaxed)
# **Polymorph energy (0 for the lowest one)**: 0 meV/atom
# **Density**: 5.97 g/cm³
# **Uncorrected formation energy**: 3.71 kcal/mol of atoms
# **E_tot**: -3.7800 eV/atom
# **Magnetization**: 0.00 μB per atom
data_KSi2Bi2
_chemical_formula_sum 'K2 Si4 Bi4'
_cell_length_a 5.5051
_cell_length_b 5.5051
_cell_length_c 9.4242
_cell_angle_alpha 90.00
_cell_angle_beta 90.00
_cell_angle_gamma 90.00
_space_group_name_H-M_alt 'I 4/m m m'
_space_group_IT_number 139
_space_group_name_Hall '-I 4 2'
loop_
_atom_site_label
_atom_site_fract_x
_atom_site_fract_y
_atom_site_fract_z
K1 0.0000 0.0000 0.0000
Si1 0.0000 0.0000 0.3706
Bi1 0.0000 0.5000 0.2500



Record 12
# K2SiBi (PBE, relaxed)
# **Polymorph energy (0 for the lowest one)**: 283 meV/atom
# **Density**: 3.91 g/cm³
# **Uncorrected formation energy**: 7.29 kcal/mol of atoms
# **E_tot**: -2.5588 eV/atom
# **Magnetization**: 0.00 μB per atom
data_K2SiBi
_chemical_formula_sum 'K8 Si4 Bi4'
_cell_length_a 8.1231
_cell_length_b 8.1231
_cell_length_c 8.1231
_cell_angle_alpha 90.00
_cell_angle_beta 90.00
_cell_angle_gamma 90.00
_space_group_name_H-M_alt 'F m -3 m'
_space_group_IT_number 225
_space_group_name_Hall '-F 4 2 3'
loop_
_atom_site_label
_atom_site_fract_x
_atom_site_fract_y
_atom_site_fract_z
K1 0.2500 0.2500 0.2500
Si1 0.0000 0.0000 0.0000
Bi1 0.0000 0.0000 0.5000



Record 13
# K2SiBi (PBE, relaxed)
# **Polymorph energy (0 for the lowest one)**: 0 meV/atom
# **Density**: 3.14 g/cm³
# **Uncorrected formation energy**: 0.76 kcal/mol of atoms
# **E_tot**: -2.8418 eV/atom
# **Magnetization**: 0.00 μB per atom
data_K2SiBi
_chemical_formula_sum 'K8 Si4 Bi4'
_cell_length_a 11.0006
_cell_length_b 7.0757
_cell_length_c 9.1183
_cell_angle_alpha 90.00
_cell_angle_beta 109.97
_cell_angle_gamma 90.00
_space_group_name_H-M_alt 'P 1 21/c 1'
_space_group_IT_number 14
loop_
_space_group_symop_operation_xyz
'x,y,z'
'-x,-y,-z'
'-x,y+1/2,-z+1/2'
'x,-y+1/2,z+1/2'
loop_
_atom_site_label
_atom_site_fract_x
_atom_site_fract_y
_atom_site_fract_z
K1 0.1897 0.2199 0.1154
K2 0.2381 0.7241 0.3261
Si1 0.4170 0.1115 0.4868
Bi1 0.4842 0.6051 0.6773



Record 14
# KSiBi3 (PBE, relaxed)
# **Polymorph energy (0 for the lowest one)**: 0 meV/atom
# **Density**: 6.56 g/cm³
# **Uncorrected formation energy**: 6.35 kcal/mol of atoms
# **E_tot**: -3.3575 eV/atom
# **Magnetization**: 0.00 μB per atom
data_KSiBi3
_chemical_formula_sum 'K1 Si1 Bi3'
_cell_length_a 5.6022
_cell_length_b 5.6022
_cell_length_c 5.6022
_cell_angle_alpha 90.00
_cell_angle_beta 90.00
_cell_angle_gamma 90.00
_space_group_name_H-M_alt 'P m -3 m'
_space_group_IT_number 221
_space_group_name_Hall '-P 4 2 3'
loop_
_atom_site_label
_atom_site_fract_x
_atom_site_fract_y
_atom_site_fract_z
K1 0.0000 0.0000 0.0000
Si1 0.5000 0.5000 0.5000
Bi1 0.0000 0.5000 0.5000



Record 15
# KSi2Bi (PBE, relaxed)
# **Density**: 4.31 g/cm³
# **Uncorrected formation energy**: 11.79 kcal/mol of atoms
# **E_tot**: -3.4448 eV/atom
# **Magnetization**: 0.00 μB per atom
data_KSi2Bi
_chemical_formula_sum 'K4 Si8 Bi4'
_cell_length_a 8.3046
_cell_length_b 8.3046
_cell_length_c 6.8058
_cell_angle_alpha 90.00
_cell_angle_beta 90.00
_cell_angle_gamma 90.00
_space_group_name_H-M_alt 'I -4 2 d'
_space_group_IT_number 122
_space_group_name_Hall 'I -4 2bw'
loop_
_atom_site_label
_atom_site_fract_x
_atom_site_fract_y
_atom_site_fract_z
K1 0.0000 0.0000 0.0000
Si1 0.2021 0.2500 0.6250
Bi1 0.0000 0.0000 0.5000



Record 16
# KSi2Bi2 (PBE, relaxed)
# **Polymorph energy (0 for the lowest one)**: 68 meV/atom
# **Density**: 6.09 g/cm³
# **Uncorrected formation energy**: 5.28 kcal/mol of atoms
# **E_tot**: -3.7120 eV/atom
# **Magnetization**: 0.00 μB per atom
data_KSi2Bi2
_chemical_formula_sum 'K2 Si4 Bi4'
_cell_length_a 8.5689
_cell_length_b 8.5689
_cell_length_c 3.8121
_cell_angle_alpha 90.00
_cell_angle_beta 90.00
_cell_angle_gamma 90.00
_space_group_name_H-M_alt 'P 4/m b m'
_space_group_IT_number 127
_space_group_name_Hall '-P 4 2ab'
loop_
_atom_site_label
_atom_site_fract_x
_atom_site_fract_y
_atom_site_fract_z
K1 0.0000 0.0000 0.0000
Si1 0.1006 0.3994 0.0000
Bi1 0.1673 0.6673 0.5000



Record 17
# K2SiBiTe4 (PBE, relaxed)
# **Density**: 4.02 g/cm³
# **Uncorrected formation energy**: -9.56 kcal/mol of atoms
# **E_tot**: -3.4228 eV/atom
# **Magnetization**: 0.00 μB per atom
data_K2SiBiTe4
_chemical_formula_sum 'K4 Si2 Bi2 Te8'
_cell_length_a 9.5515
_cell_length_b 8.1911
_cell_length_c 8.7153
_cell_angle_alpha 90.00
_cell_angle_beta 90.00
_cell_angle_gamma 90.00
_space_group_name_H-M_alt 'P m n 21'
_space_group_IT_number 31
loop_
_space_group_symop_operation_xyz
'x,y,z'
'-x+1/2,-y,z+1/2'
'-x,y,z'
'x+1/2,-y,z+1/2'
loop_
_atom_site_label
_atom_site_fract_x
_atom_site_fract_y
_atom_site_fract_z
K1 0.2495 0.1944 0.0000
Si1 0.0000 0.1907 0.5839
Bi1 0.0000 0.7805 0.1124
Te1 0.0000 0.0918 0.2938
Te2 0.0000 0.9542 0.7695
Te3 0.2100 0.3804 0.6279



Record 18
# K2SiBiTe (PBE, relaxed)
# **Density**: 3.17 g/cm³
# **Uncorrected formation energy**: 3.76 kcal/mol of atoms
# **E_tot**: -2.7651 eV/atom
# **Magnetization**: 0.00 μB per atom
data_K2SiBiTe
_chemical_formula_sum 'K2 Si1 Bi1 Te1'
_cell_length_a 6.7977
_cell_length_b 6.7977
_cell_length_c 5.0192
_cell_angle_alpha 90.00
_cell_angle_beta 90.00
_cell_angle_gamma 90.00
_space_group_name_H-M_alt 'P 4/m m m'
_space_group_IT_number 123
_space_group_name_Hall '-P 4 2'
loop_
_atom_site_label
_atom_site_fract_x
_atom_site_fract_y
_atom_site_fract_z
K1 0.0000 0.5000 0.0000
Si1 0.0000 0.0000 0.5000
Bi1 0.0000 0.0000 0.0000
Te1 0.5000 0.5000 0.5000



Record 19
# K2SiBiW (PBE, relaxed)
# **Density**: 3.54 g/cm³
# **Uncorrected formation energy**: 33.41 kcal/mol of atoms
# **E_tot**: -3.4417 eV/atom
# **Magnetization**: 1.06 μB per atom
data_K2SiBiW
_chemical_formula_sum 'K2 Si1 Bi1 W1'
_cell_length_a 6.6269
_cell_length_b 6.6269
_cell_length_c 5.3263
_cell_angle_alpha 90.00
_cell_angle_beta 90.00
_cell_angle_gamma 90.00
_space_group_name_H-M_alt 'P 4/m m m'
_space_group_IT_number 123
_space_group_name_Hall '-P 4 2'
loop_
_atom_site_label
_atom_site_fract_x
_atom_site_fract_y
_atom_site_fract_z
K1 0.0000 0.5000 0.0000
Si1 0.0000 0.0000 0.5000
Bi1 0.5000 0.5000 0.5000
W1 0.5000 0.5000 0.0000



Record 20
# KSmBi2 (PBE, relaxed)
# **Polymorph energy (0 for the lowest one)**: 151 meV/atom
# **Density**: 6.40 g/cm³
# **E_tot**: -3.7890 eV/atom
# **ΔH_f (0 K)**: -394 meV per atom
# **Magnetization**: 0.00 μB per atom
data_KSmBi2
_chemical_formula_sum 'K3 Sm3 Bi6'
_cell_length_a 4.5563
_cell_length_b 4.5563
_cell_length_c 26.3125
_cell_angle_alpha 90.00
_cell_angle_beta 90.00
_cell_angle_gamma 120.00
_space_group_name_H-M_alt 'R -3 m'
_space_group_IT_number 166
_space_group_name_Hall '-R 3 2"'
loop_
_atom_site_label
_atom_site_fract_x
_atom_site_fract_y
_atom_site_fract_z
K1 0.0000 0.0000 0.0000
Sm1 0.0000 0.0000 0.5000
Bi1 0.0000 0.0000 0.2361